{
  "formula": "LaZn2Cl",
  "functional": "PBE",
  "state": "relaxed",
  "cell": [[-4.698, 1.021, -3.037], [-1.090, -0.698, 6.545], [-0.832, 2.802, 2.234]],
  "species": ["Cl", "La", "Zn", "Zn"],
  "frac_coords": [[0.500, 0.500, 0.000], [0.500, 0.000, 0.500], [0.000, 0.000, 0.000], [0.000, 0.500, 0.500]],
  "raw_formation_energy_ev_per_atom": -0.53,
  "e_tot_ev_per_atom": -2.862,
  "polymorph_energy_ev_per_atom": 0.185,
  "spacegroup": "C2/m (12)"
}